Material: BaVH
Method: DFT, PBE-GGA
State: optimized geometry

Lattice parameters (Å, degrees): 3.4866 3.4866 11.7269 90.00 90.00 120.00
Closest atoms and distances in Å follow each position.
Atoms (fractional coordinates):
1 Ba 0.3333 0.6667 0.0000  3 H 2.90, 1 V 3.19
2 Ba 0.6667 0.3333 0.5000  3 H 2.90, 1 V 3.19
3 V 0.3333 0.6667 0.2719  3 H 2.10
4 V 0.6667 0.3333 0.7719  3 H 2.10
5 H 0.0000 0.0000 0.3224  3 V 2.10
6 H 0.0000 0.0000 0.8224  3 V 2.10

- Volume: 20.6 Å³ per atom
- Relative energy among the computed polymorphs: 0.5382 eV/atom
- Total magnetization: 2.80 μB per formula unit
- N(E_F): 0.83 states/eV/atom